[1]
Entry from the Alexandria database: a relaxed CsTe2I2 crystal (PBE).

Offset from the most stable computed form, meV per atom: 58
Symmetry: P4/mbm, No. 127

a b c (Å): 9.970 9.970 5.059
angles (deg): 90.00 90.00 90.00
Site moments in Bohr magnetons follow the coordinates.
Fractional positions:
Te 0.592 0.092 0.000  0.22
Te 0.408 0.908 0.000  0.22
Te 0.908 0.592 0.000  0.22
Te 0.092 0.408 0.000  0.22
I 0.257 0.243 0.500  0.02
I 0.243 0.743 0.500  0.02
I 0.757 0.257 0.500  0.02
I 0.743 0.757 0.500  0.02
Cs 0.500 0.500 0.000  0.01
Cs 0.000 0.000 0.000  0.01

[2]
Entry from the Alexandria database: a relaxed Cs4TeI5 crystal (PBE).

Symmetry: I4, No. 79

a b c (Å): 7.561 9.454 9.454
angles (deg): 80.80 66.43 66.43
Site moments in Bohr magnetons follow the coordinates.
Fractional positions:
Cs 0.398 0.399 0.800  0.00
Cs 0.597 0.601 0.200  0.00
Cs 0.797 0.800 0.601  0.00
Cs 0.198 0.200 0.399  0.00
I 0.534 0.000 0.000  0.00
I 0.708 0.194 0.385  0.09
I 0.288 0.806 0.615  0.09
I 0.902 0.385 0.806  0.09
I 0.093 0.615 0.194  0.09
Te 0.996 0.000 0.000  0.84

[3]
Entry from the Alexandria database: a relaxed Cs2TeI5 crystal (PBE).

Symmetry: I4mm, No. 107

a b c (Å): 8.787 8.787 8.377
angles (deg): 121.63 121.63 90.00
Site moments in Bohr magnetons follow the coordinates.
Fractional positions:
I 0.772 0.251 0.022  0.01
I 0.251 0.251 0.022  0.01
I 0.251 0.772 0.022  0.01
I 0.717 0.717 0.435  0.25
I 0.772 0.772 0.022  0.01
Cs 0.756 0.256 0.513  0.00
Cs 0.256 0.756 0.513  0.00
Te 0.002 0.002 0.004  0.31

[4]
Entry from the Alexandria database: a relaxed CsTe2I2 crystal (PBE).

Offset from the most stable computed form, meV per atom: 0
Symmetry: C2/c, No. 15

a b c (Å): 6.214 6.985 16.383
angles (deg): 116.86 90.00 116.41
Fractional positions:
Te 0.926 0.282 0.992
Te 0.356 0.282 0.492
Te 0.074 0.718 0.008
Te 0.644 0.718 0.508
I 0.485 0.232 0.155
I 0.747 0.232 0.655
I 0.253 0.768 0.345
I 0.515 0.768 0.845
Cs 0.848 0.000 0.250
Cs 0.152 0.000 0.750

[5]
Entry from the Alexandria database: a relaxed Cs4TeI2 crystal (PBE).

Offset from the most stable computed form, meV per atom: 0
Symmetry: P4_122, No. 91

a b c (Å): 11.410 11.410 16.004
angles (deg): 90.00 90.00 90.00
Fractional positions:
Te 0.742 0.000 0.250
Te 0.000 0.258 0.000
Te 0.258 0.000 0.750
Te 0.000 0.742 0.500
Cs 0.030 0.763 0.733
Cs 0.762 0.476 0.008
Cs 0.238 0.476 0.992
Cs 0.237 0.030 0.983
Cs 0.763 0.970 0.483
Cs 0.763 0.030 0.017
Cs 0.762 0.524 0.492
Cs 0.524 0.762 0.258
Cs 0.476 0.238 0.758
Cs 0.030 0.237 0.767
Cs 0.524 0.238 0.242
Cs 0.476 0.762 0.742
Cs 0.970 0.763 0.267
Cs 0.237 0.970 0.517
Cs 0.970 0.237 0.233
Cs 0.238 0.524 0.507
I 0.753 0.247 0.625
I 0.247 0.753 0.125
I 0.247 0.247 0.375
I 0.500 0.260 0.000
I 0.500 0.740 0.500
I 0.260 0.500 0.750
I 0.753 0.753 0.875
I 0.740 0.500 0.250

[6]
Entry from the Alexandria database: a relaxed CsTe2I2 crystal (PBE).

Offset from the most stable computed form, meV per atom: 71
Symmetry: I4/mmm, No. 139

a b c (Å): 4.401 4.401 11.328
angles (deg): 78.80 78.80 90.00
Fractional positions:
I 0.398 0.398 0.204
I 0.602 0.602 0.796
Cs 0.000 0.000 0.000
Te 0.750 0.250 0.500
Te 0.250 0.750 0.500

[7]
Entry from the Alexandria database: a relaxed Cs4TeI2 crystal (PBE).

Offset from the most stable computed form, meV per atom: 94
Symmetry: I4/mmm, No. 139

a b c (Å): 7.217 7.217 11.313
angles (deg): 71.40 71.40 90.00
Fractional positions:
Cs 0.822 0.822 0.356
Cs 0.000 0.500 0.000
Cs 0.178 0.178 0.644
Cs 0.500 0.000 0.000
I 0.635 0.635 0.730
I 0.365 0.365 0.270
Te 0.000 0.000 0.000

[8]
Entry from the Alexandria database: a relaxed Cs6TeI12 crystal (PBE).

Symmetry: R-3, No. 148

a b c (Å): 10.660 10.660 10.660
angles (deg): 96.97 96.97 96.97
Site moments in Bohr magnetons follow the coordinates.
Fractional positions:
Cs 0.273 0.161 0.623  0.00
Cs 0.161 0.623 0.273  0.00
Cs 0.839 0.377 0.727  0.00
Cs 0.727 0.839 0.377  0.00
Cs 0.623 0.273 0.161  0.00
Cs 0.377 0.727 0.839  0.00
I 0.586 0.150 0.480  0.21
I 0.480 0.586 0.150  0.21
I 0.414 0.850 0.520  0.21
I 0.150 0.480 0.586  0.21
I 0.723 0.937 0.019  0.00
I 0.981 0.277 0.063  0.00
I 0.520 0.414 0.850  0.21
I 0.937 0.019 0.723  0.00
I 0.277 0.063 0.981  0.00
I 0.850 0.520 0.414  0.21
I 0.019 0.723 0.937  0.00
I 0.063 0.981 0.277  0.00
Te 0.000 0.000 0.000  0.00

[9]
Entry from the Alexandria database: a relaxed CsTe5I7 crystal (PBE).

Symmetry: P1, No. 1

a b c (Å): 5.742 9.986 14.192
angles (deg): 64.88 88.42 81.74
Fractional positions:
I 0.156 0.711 0.301
I 0.480 0.272 0.741
I 0.397 0.668 0.624
I 0.666 0.678 0.273
I 0.311 0.223 0.113
I 0.758 0.284 0.379
I 0.993 0.225 0.723
Cs 0.859 0.046 0.031
Te 0.025 0.547 0.948
Te 0.494 0.574 0.008
Te 0.699 0.819 0.864
Te 0.331 0.974 0.534
Te 0.830 0.978 0.462

[10]
Entry from the Alexandria database: a relaxed CsTeI2 crystal (PBE).

Symmetry: Fm-3m, No. 225

a b c (Å): 6.330 6.330 6.330
angles (deg): 60.00 60.00 60.00
Site moments in Bohr magnetons follow the coordinates.
Fractional positions:
I 0.750 0.750 0.750  0.30
I 0.250 0.250 0.250  0.30
Cs 0.500 0.500 0.500  0.01
Te 0.000 0.000 0.000  1.13

[11]
Entry from the Alexandria database: a relaxed CsTe2I crystal (PBE).

Offset from the most stable computed form, meV per atom: 182
Symmetry: I-42d, No. 122

a b c (Å): 7.483 7.483 10.242
angles (deg): 68.57 68.57 90.00
Fractional positions:
I 0.250 0.750 0.500
I 0.500 0.500 0.000
Te 0.875 0.738 0.750
Te 0.375 0.512 0.750
Te 0.262 0.625 0.250
Te 0.488 0.125 0.250
Cs 0.750 0.250 0.500
Cs 0.000 0.000 0.000

[12]
Entry from the Alexandria database: a relaxed Cs8TeI5 crystal (PBE).

Symmetry: I-4, No. 82

a b c (Å): 10.211 10.211 10.211
angles (deg): 109.31 109.31 109.80
Fractional positions:
Cs 0.789 0.391 0.259
Cs 0.609 0.868 0.398
Cs 0.132 0.530 0.741
Cs 0.127 0.006 0.743
Cs 0.994 0.737 0.121
Cs 0.470 0.211 0.602
Cs 0.616 0.873 0.879
Cs 0.263 0.384 0.257
I 0.992 0.122 0.376
I 0.384 0.008 0.129
I 0.500 0.500 0.000
I 0.878 0.254 0.871
I 0.746 0.616 0.624
Te 0.250 0.750 0.500

[13]
Entry from the Alexandria database: a relaxed CsTeI5 crystal (PBE).

Offset from the most stable computed form, meV per atom: 0
Symmetry: C2/c, No. 15

a b c (Å): 9.092 9.092 12.142
angles (deg): 70.63 70.63 53.77
Fractional positions:
Te 0.000 0.000 0.500
Te 0.000 0.000 0.000
Cs 0.500 0.500 0.750
Cs 0.500 0.500 0.250
I 0.607 0.117 0.069
I 0.883 0.393 0.431
I 0.393 0.883 0.931
I 0.606 0.119 0.568
I 0.000 0.000 0.750
I 0.119 0.606 0.068
I 0.000 0.000 0.250
I 0.394 0.881 0.432
I 0.881 0.394 0.932
I 0.117 0.607 0.569

[14]
Entry from the Alexandria database: a relaxed CsTe2I8 crystal (PBE).

Symmetry: C2/m, No. 12

a b c (Å): 10.601 8.247 8.247
angles (deg): 64.79 65.23 65.23
Fractional positions:
I 0.750 0.171 0.641
I 0.877 0.619 0.619
I 0.123 0.381 0.381
I 0.576 0.216 0.216
I 0.424 0.784 0.784
I 0.250 0.359 0.829
I 0.750 0.641 0.171
I 0.250 0.829 0.359
Te 0.368 0.138 0.138
Te 0.632 0.862 0.862
Cs 0.000 0.000 0.000

[15]
Entry from the Alexandria database: a relaxed CsTe2I2 crystal (PBE).

Offset from the most stable computed form, meV per atom: 31
Symmetry: I4/mmm, No. 139

a b c (Å): 6.637 6.637 7.239
angles (deg): 62.71 62.71 90.00
Fractional positions:
Te 0.383 0.383 0.233
Te 0.617 0.617 0.767
I 0.750 0.250 0.500
I 0.250 0.750 0.500
Cs 0.000 0.000 0.000

[16]
Entry from the Alexandria database: a relaxed Cs3Te2I9 crystal (PBE).

Symmetry: P-3m1, No. 164

a b c (Å): 8.520 8.520 10.542
angles (deg): 90.00 90.00 120.00
Fractional positions:
I 0.839 0.161 0.337
I 0.000 0.500 0.000
I 0.323 0.161 0.337
I 0.839 0.677 0.337
I 0.161 0.323 0.663
I 0.500 0.000 0.000
I 0.161 0.839 0.663
I 0.677 0.839 0.663
I 0.500 0.500 0.000
Te 0.333 0.667 0.816
Te 0.667 0.333 0.184
Cs 0.333 0.667 0.341
Cs 0.667 0.333 0.659
Cs 0.000 0.000 0.000

[17]
Entry from the Alexandria database: a relaxed Cs3TeI6 crystal (PBE).

Offset from the most stable computed form, meV per atom: 0
Symmetry: R-3, No. 148

a b c (Å): 10.633 10.633 10.633
angles (deg): 88.24 88.24 88.24
Site moments in Bohr magnetons follow the coordinates.
Fractional positions:
Cs 0.375 0.721 0.129  0.00
Cs 0.721 0.129 0.375  0.00
Cs 0.871 0.625 0.279  0.00
Cs 0.625 0.279 0.871  0.00
Cs 0.279 0.871 0.625  0.00
Cs 0.129 0.375 0.721  0.00
I 0.730 0.946 0.052  0.00
I 0.205 0.584 0.428  0.08
I 0.946 0.052 0.730  0.00
I 0.416 0.572 0.795  0.08
I 0.054 0.948 0.270  0.00
I 0.052 0.730 0.946  0.00
I 0.795 0.416 0.572  0.08
I 0.948 0.270 0.054  0.00
I 0.584 0.428 0.205  0.08
I 0.270 0.054 0.948  0.00
I 0.428 0.205 0.584  0.08
I 0.572 0.795 0.416  0.08
Te 0.500 0.500 0.500  0.74
Te 0.000 0.000 0.000  0.02

[18]
Entry from the Alexandria database: a relaxed CsTeI5 crystal (PBE).

Offset from the most stable computed form, meV per atom: 22
Symmetry: Imm2, No. 44

a b c (Å): 7.581 8.569 8.569
angles (deg): 66.64 63.74 63.74
Fractional positions:
I 0.169 0.704 0.704
I 0.581 0.819 0.181
I 0.578 0.296 0.296
I 0.952 0.500 0.500
I 0.581 0.181 0.819
Cs 0.093 0.000 0.000
Te 0.576 0.500 0.500

[19]
Entry from the Alexandria database: a relaxed CsTeI4 crystal (PBE).

Offset from the most stable computed form, meV per atom: 12
Symmetry: P2_1/m, No. 11

a b c (Å): 6.152 11.053 12.770
angles (deg): 90.00 90.00 123.60
Fractional positions:
I 0.106 0.639 0.080
I 0.106 0.639 0.420
I 0.641 0.186 0.250
I 0.167 0.125 0.750
I 0.894 0.361 0.920
I 0.894 0.361 0.580
I 0.359 0.814 0.750
I 0.833 0.875 0.250
Te 0.324 0.867 0.250
Te 0.676 0.133 0.750
Cs 0.405 0.448 0.250
Cs 0.595 0.552 0.750

[20]
Entry from the Alexandria database: a relaxed Cs2Te3I2 crystal (PBE).

Symmetry: C2/m, No. 12

a b c (Å): 7.499 7.319 7.395
angles (deg): 88.61 90.00 120.82
Fractional positions:
Te 0.422 0.845 0.633
Te 0.500 0.000 0.000
Te 0.578 0.155 0.367
I 0.144 0.288 0.741
I 0.856 0.712 0.259
Cs 0.809 0.618 0.765
Cs 0.191 0.382 0.235

Number 1: ΔE_f (raw) -377 meV/atom. Number 2: ΔE_f (raw) -1073 meV/atom. Number 3: ΔE_f (raw) -804 meV/atom. Number 4: ΔE_f (raw) -436 meV/atom. Number 5: ΔE_f (raw) -1276 meV/atom. Number 6: ΔE_f (raw) -365 meV/atom. Number 7: ΔE_f (raw) -1182 meV/atom. Number 8: ΔE_f (raw) -940 meV/atom. Number 9: ΔE_f (raw) -167 meV/atom. Number 10: ΔE_f (raw) -341 meV/atom. Number 11: ΔE_f (raw) -112 meV/atom. Number 12: ΔE_f (raw) -1276 meV/atom. Number 13: ΔE_f (raw) -499 meV/atom. Number 14: ΔE_f (raw) -299 meV/atom. Number 15: ΔE_f (raw) -405 meV/atom. Number 16: ΔE_f (raw) -710 meV/atom. Number 17: ΔE_f (raw) -910 meV/atom. Number 18: ΔE_f (raw) -477 meV/atom. Number 19: ΔE_f (raw) -541 meV/atom. Number 20: ΔE_f (raw) -667 meV/atom.